[1]
Compound: MoPSe
Source: the Alexandria database
Functional: GGA-PBE
Structure: relaxed

Cell lengths 3.2674, 3.2674, 5.7603 Å; angles 90.00, 90.00, 120.00 degrees
Space group P3m1 (No. 156)
Asymmetric unit:
Mo 0.0000 0.0000 0.0000 x1
P 0.3333 0.6667 0.2719 x1
Se 0.6667 0.3333 0.6969 x1

## Properties
Its magnetization is 0.000 μB/f.u. The calculation puts the raw formation energy at -0.22 eV/atom.



[2]
Compound: LiPmGdRh
Source: the Alexandria database
Functional: GGA-PBE
Structure: relaxed

Cell lengths 7.105, 7.105, 7.105 Å; angles 90.00, 90.00, 90.00 degrees
Space group F-43m (No. 216)
Asymmetric unit:
Li 0.000 0.000 0.000 x4
Pm 0.250 0.250 0.750 x4
Gd 0.250 0.250 0.250 x4
Rh 0.000 0.000 0.500 x4

## Properties
The energy of formation from the pure elements comes out at -1.6 eV per formula unit. Its magnetization is 7.138 μB/f.u.



[3]
Compound: Pr2Th2Hg
Source: the Alexandria database
Functional: GGA-PBE
Structure: relaxed

Cell lengths 3.676, 3.676, 23.234 Å; angles 90.00, 90.00, 90.00 degrees
Space group I4/mmm (No. 139)
Asymmetric unit:
Pr 0.000 0.000 0.090 x4
Th 0.000 0.000 0.301 x4
Hg 0.000 0.000 0.500 x2

## Properties
The energy of formation from the pure elements comes out at -0.9 eV per formula unit. Its magnetization is 0.000 μB/f.u.



[4]
Compound: TaRe2Mo
Source: the Alexandria database
Functional: GGA-PBE
Structure: relaxed

Cell lengths 2.7968, 2.7968, 28.6156 Å; angles 90.00, 90.00, 120.00 degrees
Space group R3m (No. 160, hexagonal axes)
Asymmetric unit:
Ta 0.0000 0.0000 0.0000 x3
Re 0.0000 0.0000 0.2467 x3
Re 0.0000 0.0000 0.5043 x3
Mo 0.0000 0.0000 0.7558 x3

## Properties
The energy of formation from the pure elements comes out at 0.7 eV per formula unit. Its magnetization is 0.000 μB/f.u.



Q: Which E values were calculated for the entries above? A: -0.4995; -0.5459; -0.3766; -0.8611, in Ry per atom.